! BaAcAl PBE relaxed; values from VASP
&SYSTEM
  ibrav = 0, nat = 6, ntyp = 3
/
ATOMIC_SPECIES
Al 26.98 Al.upf
Ba 137.33 Ba.upf
Ac 227.00 Ac.upf
CELL_PARAMETERS angstrom
4.446 0.000 0.000
0.000 4.771 0.000
0.000 2.386 12.027
ATOMIC_POSITIONS crystal
Al 0.750 0.468 0.064
Al 0.250 0.532 0.936
Ba 0.750 0.316 0.369
Ba 0.250 0.684 0.631
Ac 0.750 0.072 0.857
Ac 0.250 0.928 0.143
! - formation energy (eV per formula unit) = -0.5
! - total DFT energy (no corrections) (eV/atom) = -3.41
! - offset from the most stable computed form (kJ per mole of atoms) = 0.0